(1)
DFT (GGA-PBE) results for crystalline Tb3PtN at its relaxed geometry.

Lattice parameters (Å, degrees): 4.734 4.734 4.734 90.00 90.00 90.00
Element x y z (fractional)
1 Tb 0.500 0.000 0.000
2 Tb 0.000 0.000 0.500
3 Tb 0.000 0.500 0.000
4 Pt 0.500 0.500 0.500
5 N 0.000 0.000 0.000

Calculated values
M_tot, μB per formula unit: 0.0
Uncorrected formation energy, eV per atom: -1.03
Electronic total energy, eV per atom: -6.678

---

(2)
DFT (GGA-PBE) results for crystalline HfB3Br at its relaxed geometry.

Lattice parameters (Å, degrees): 4.690 4.690 4.690 90.00 90.00 90.00
Element x y z (fractional)
1 B 0.000 0.500 0.000
2 B 0.500 0.000 0.000
3 B 0.000 0.000 0.500
4 Hf 0.000 0.000 0.000
5 Br 0.500 0.500 0.500

Calculated values
M_tot, μB per formula unit: 0.0
Uncorrected formation energy, eV per atom: 1.96
Electronic total energy, eV per atom: -4.370
Energy relative to the lowest polymorph listed for this composition, meV/atom: 0

---

(3)
DFT (GGA-PBE) results for crystalline CePm9In2 at its relaxed geometry.

Lattice parameters (Å, degrees): 4.968 4.968 15.237 90.00 90.00 90.00
Each line ends with the local moment (μB).
Element x y z (fractional)
1 Pm 0.000 0.500 0.172  0.02
2 Pm 0.500 0.500 0.000  0.04
3 Pm 0.500 0.500 0.338  -0.01
4 Pm 0.500 0.000 0.500  -0.02
5 Pm 0.500 0.000 0.828  0.02
6 Pm 0.000 0.500 0.500  -0.02
7 Pm 0.500 0.000 0.172  0.02
8 Pm 0.500 0.500 0.662  -0.01
9 Pm 0.000 0.500 0.828  0.02
10 In 0.000 0.000 0.663  0.00
11 In 0.000 0.000 0.337  0.00
12 Ce 0.000 0.000 0.000  0.71

Calculated values
M_tot, μB per formula unit: 1.0
Energy relative to the elements, eV/atom: -0.151
Electronic total energy, eV per atom: -4.665

---

(4)
DFT (GGA-PBE) results for crystalline Li2CaZr2 at its relaxed geometry.

Lattice parameters (Å, degrees): 4.265 4.265 7.668 73.85 73.85 90.00
Element x y z (fractional)
1 Zr 0.410 0.410 0.180
2 Zr 0.590 0.590 0.820
3 Ca 0.000 0.000 0.000
4 Li 0.250 0.750 0.500
5 Li 0.750 0.250 0.500

Calculated values
M_tot, μB per formula unit: 0.0
Energy relative to the elements, eV/atom: 0.649
Electronic total energy, eV per atom: -3.936
Energy relative to the lowest polymorph listed for this composition, meV/atom: 236

---

(5)
DFT (GGA-PBE) results for crystalline CaZrAg at its relaxed geometry.

Lattice parameters (Å, degrees): 4.999 4.999 3.393 90.00 90.00 120.00
Element x y z (fractional)
1 Zr 0.333 0.667 0.741
2 Ag 0.000 0.000 0.955
3 Ca 0.667 0.333 0.305

Calculated values
M_tot, μB per formula unit: 0.0
Energy relative to the elements, eV/atom: 0.292
Electronic total energy, eV per atom: -4.175
Energy relative to the lowest polymorph listed for this composition, meV/atom: 201

---

(6)
DFT (GGA-PBE) results for crystalline Be2Zn2Ir at its relaxed geometry.

Lattice parameters (Å, degrees): 6.206 6.206 3.024 90.00 90.00 90.00
Element x y z (fractional)
1 Be 0.633 0.133 0.000
2 Be 0.133 0.367 0.000
3 Be 0.867 0.633 0.000
4 Be 0.367 0.867 0.000
5 Zn 0.838 0.338 0.500
6 Zn 0.338 0.162 0.500
7 Zn 0.162 0.662 0.500
8 Zn 0.662 0.838 0.500
9 Ir 0.000 0.000 0.000
10 Ir 0.500 0.500 0.000

Calculated values
M_tot, μB per formula unit: 0.0
Energy relative to the elements, eV/atom: -0.055
Electronic total energy, eV per atom: -3.827
Energy relative to the lowest polymorph listed for this composition, meV/atom: 0

---

(7)
DFT (GGA-PBE) results for crystalline SrLi12Zn4 at its relaxed geometry.

Lattice parameters (Å, degrees): 7.844 7.844 7.844 109.47 109.47 109.47
Element x y z (fractional)
1 Li 0.832 0.648 0.481
2 Li 0.184 0.832 0.352
3 Li 0.648 0.481 0.832
4 Li 0.832 0.352 0.184
5 Li 0.352 0.184 0.832
6 Li 0.648 0.816 0.168
7 Li 0.519 0.168 0.352
8 Li 0.168 0.648 0.816
9 Li 0.481 0.832 0.648
10 Li 0.352 0.519 0.168
11 Li 0.168 0.352 0.519
12 Li 0.816 0.168 0.648
13 Zn 0.500 0.000 0.000
14 Zn 0.500 0.500 0.500
15 Zn 0.000 0.500 0.000
16 Zn 0.000 0.000 0.500
17 Sr 0.000 0.000 0.000

Calculated values
M_tot, μB per formula unit: 0.0
Energy relative to the elements, eV/atom: 0.084
Electronic total energy, eV per atom: -1.666

---

(8)
DFT (GGA-PBE) results for crystalline AlH2PdN at its relaxed geometry.

Lattice parameters (Å, degrees): 3.427 4.050 3.427 90.00 90.00 90.00
Element x y z (fractional)
1 Pd 0.500 0.500 0.500
2 H 0.500 0.000 0.000
3 H 0.000 0.000 0.500
4 N 0.000 0.000 0.000
5 Al 0.000 0.500 0.000

Calculated values
M_tot, μB per formula unit: 0.0
Electronic total energy, eV per atom: -4.133